NpFeOsO6: optimized geometry, GGA+U.

Raw total energy: -8.31 eV per atom

Cell lengths 5.2775, 5.2775, 8.8023 Å; angles 90.00, 90.00, 120.00 degrees
Sites, in units of the cell vectors:
Np 0.6667 0.3333 0.2500
Np 0.3333 0.6667 0.7500
Fe 0.3333 0.6667 0.2500
Fe 0.6667 0.3333 0.7500
Os 0.0000 0.0000 0.0000
Os 0.0000 0.0000 0.5000
O 0.6733 0.6829 0.1255
O 0.0096 0.3267 0.1255
O 0.3267 0.0096 0.6255
O 0.9904 0.6733 0.8745
O 0.3171 0.3267 0.3745
O 0.0096 0.6829 0.3745
O 0.6829 0.0096 0.8745
O 0.6733 0.9904 0.3745
O 0.9904 0.3171 0.6255
O 0.3171 0.9904 0.1255
O 0.6829 0.6733 0.6255
O 0.3267 0.3171 0.8745